Record 1
Here is an optimized crystal structure of BaMgCd8Au2 from Alexandria. Energies are from PBE.

Values from the calculation:
- magnetic moment (μB per formula unit) = 0.00
- calculated formation energy (eV per atom) = -0.12
- crystal system = monoclinic
- symmetry = C2/m, No. 12

a b c (Å): 5.378 5.378 11.135
angles (deg): 93.00 93.00 68.29
Positions (direct):
Ba1 0.000 0.000 0.500
Mg1 0.000 0.000 0.000
Cd1 0.850 0.352 0.799
Cd2 0.655 0.655 0.052
Cd3 0.653 0.653 0.583
Cd4 0.347 0.347 0.417
Cd5 0.345 0.345 0.948
Cd6 0.352 0.850 0.799
Cd7 0.648 0.150 0.201
Cd8 0.150 0.648 0.201
Au1 0.662 0.662 0.328
Au2 0.338 0.338 0.672

=====

Record 2
Here is an optimized crystal structure of Ba2MgCd12Au3 from Alexandria. Energies are from PBE.

Values from the calculation:
- magnetic moment (μB per formula unit) = 0.00
- calculated formation energy (eV per atom) = 0.01
- crystal system = trigonal
- symmetry = R-3m, No. 166

a b c (Å): 8.668 8.668 8.668
angles (deg): 71.50 71.50 71.50
Positions (direct):
Ba1 0.607 0.607 0.607
Ba2 0.393 0.393 0.393
Mg1 0.000 0.000 0.000
Cd1 0.298 0.298 0.843
Cd2 0.861 0.861 0.352
Cd3 0.352 0.861 0.861
Cd4 0.843 0.298 0.298
Cd5 0.861 0.352 0.861
Cd6 0.298 0.843 0.298
Cd7 0.702 0.702 0.157
Cd8 0.139 0.139 0.648
Cd9 0.648 0.139 0.139
Cd10 0.157 0.702 0.702
Cd11 0.139 0.648 0.139
Cd12 0.702 0.157 0.702
Au1 0.500 0.000 0.000
Au2 0.000 0.500 0.000
Au3 0.000 0.000 0.500

=====

Record 3
Here is an optimized crystal structure of Ba2Mg3Cd12Au from Alexandria. Energies are from PBE.

Values from the calculation:
- magnetic moment (μB per formula unit) = 0.00
- calculated formation energy (eV per atom) = -0.09
- crystal system = trigonal
- symmetry = R-3m, No. 166

a b c (Å): 12.626 12.626 12.626
angles (deg): 31.91 31.91 31.91
Positions (direct):
Ba1 0.644 0.644 0.644
Ba2 0.356 0.356 0.356
Mg1 0.500 0.000 0.000
Mg2 0.000 0.500 0.000
Mg3 0.000 0.000 0.500
Cd1 0.411 0.411 0.836
Cd2 0.906 0.906 0.371
Cd3 0.371 0.906 0.906
Cd4 0.836 0.411 0.411
Cd5 0.906 0.371 0.906
Cd6 0.411 0.836 0.411
Cd7 0.589 0.589 0.164
Cd8 0.094 0.094 0.629
Cd9 0.629 0.094 0.094
Cd10 0.164 0.589 0.589
Cd11 0.094 0.629 0.094
Cd12 0.589 0.164 0.589
Au1 0.000 0.000 0.000

=====

Record 4
Here is an optimized crystal structure of BaMgCd2Au4 from Alexandria. Energies are from PBE.

Values from the calculation:
- magnetic moment (μB per formula unit) = 0.00
- calculated formation energy (eV per atom) = -0.45
- crystal system = trigonal
- symmetry = R-3m, No. 166

a b c (Å): 4.756 4.756 10.015
angles (deg): 76.26 76.26 60.00
Positions (direct):
Ba1 0.000 0.000 0.000
Mg1 0.500 0.500 0.500
Cd1 0.761 0.761 0.716
Cd2 0.239 0.239 0.284
Au1 0.404 0.404 0.789
Au2 0.863 0.863 0.412
Au3 0.137 0.137 0.588
Au4 0.596 0.596 0.211

=====

Record 5
Here is an optimized crystal structure of BaMgCdAu from Alexandria. Energies are from PBE.

Values from the calculation:
- magnetic moment (μB per formula unit) = 0.00
- calculated formation energy (eV per atom) = -0.45
- crystal system = monoclinic
- symmetry = Cm, No. 8

a b c (Å): 4.881 4.875 6.442
angles (deg): 112.28 90.00 120.04
Positions (direct):
Ba1 0.619 0.239 0.501
Mg1 0.103 0.206 0.951
Cd1 0.822 0.644 0.107
Au1 0.422 0.844 0.908

=====

Record 6
Here is an optimized crystal structure of Ba3MgCd2Au6 from Alexandria. Energies are from PBE.

Values from the calculation:
- magnetic moment (μB per formula unit) = 0.00
- calculated formation energy (eV per atom) = -0.51
- crystal system = trigonal
- symmetry = P-3m1, No. 164

a b c (Å): 6.706 6.706 8.944
angles (deg): 90.00 90.00 120.00
Positions (direct):
Ba1 0.333 0.667 0.635
Ba2 0.667 0.333 0.365
Ba3 0.000 0.000 0.000
Mg1 0.000 0.000 0.500
Cd1 0.667 0.333 0.960
Cd2 0.333 0.667 0.040
Au1 0.634 0.817 0.301
Au2 0.183 0.366 0.301
Au3 0.183 0.817 0.301
Au4 0.817 0.634 0.699
Au5 0.366 0.183 0.699
Au6 0.817 0.183 0.699

=====

Record 7
Here is an optimized crystal structure of Ba6Cd2AuN from Alexandria. Energies are from PBE.

Values from the calculation:
- magnetic moment (μB per formula unit) = 0.00
- crystal system = monoclinic
- symmetry = P2_1/c, No. 14
- E_form (uncorrected) (eV/f.u.) = -3.6

a b c (Å): 8.138 8.590 11.750
angles (deg): 90.00 88.57 90.00
Positions (direct):
Ba1 0.286 0.676 0.047
Ba2 0.786 0.824 0.547
Ba3 0.714 0.324 0.953
Ba4 0.214 0.176 0.453
Ba5 0.332 0.717 0.457
Ba6 0.832 0.783 0.957
Ba7 0.668 0.283 0.543
Ba8 0.168 0.217 0.043
Ba9 0.906 0.517 0.229
Ba10 0.406 0.983 0.729
Ba11 0.094 0.483 0.771
Ba12 0.594 0.017 0.271
Cd1 0.032 0.920 0.250
Cd2 0.532 0.580 0.750
Cd3 0.968 0.080 0.750
Cd4 0.468 0.420 0.250
Au1 0.500 0.000 0.000
Au2 0.000 0.500 0.500
N1 0.500 0.000 0.500
N2 0.000 0.500 0.000

=====

Record 8
Here is an optimized crystal structure of Ba2CdAuN from Alexandria. Energies are from PBE.

Values from the calculation:
- magnetic moment (μB per formula unit) = 0.00
- crystal system = tetragonal
- symmetry = P4/mmm, No. 123
- E_form (uncorrected) (eV/f.u.) = -1.6

a b c (Å): 5.706 5.706 4.431
angles (deg): 90.00 90.00 90.00
Positions (direct):
N1 0.000 0.000 0.000
Au1 0.500 0.500 0.500
Ba1 0.000 0.500 0.000
Ba2 0.500 0.000 0.000
Cd1 0.000 0.000 0.500

=====

Record 9
Here is an optimized crystal structure of Ba8CdAu2N from Alexandria. Energies are from PBE.

Values from the calculation:
- magnetic moment (μB per formula unit) = 0.00
- crystal system = monoclinic
- symmetry = P2/m, No. 10
- E_form (uncorrected) (eV/f.u.) = -4.2

a b c (Å): 7.664 7.546 9.736
angles (deg): 89.99 89.99 88.22
Positions (direct):
Ba1 0.177 0.801 0.204
Ba2 0.721 0.741 0.000
Ba3 0.822 0.199 0.204
Ba4 0.823 0.199 0.796
Ba5 0.279 0.259 0.000
Ba6 0.178 0.801 0.796
Ba7 0.674 0.705 0.500
Ba8 0.326 0.295 0.500
Cd1 0.000 0.000 0.500
Au1 0.500 0.500 0.767
Au2 0.500 0.500 0.233
N1 0.000 0.000 0.000

=====

Record 10
Here is an optimized crystal structure of Ba2NaCd6Au from Alexandria. Energies are from PBE.

Values from the calculation:
- magnetic moment (μB per formula unit) = 0.00
- calculated formation energy (eV per atom) = -0.07
- crystal system = cubic
- symmetry = Fm-3m, No. 225

a b c (Å): 7.780 7.780 7.780
angles (deg): 60.00 60.00 90.00
Positions (direct):
Ba1 0.250 0.750 0.500
Ba2 0.750 0.250 0.500
Na1 0.500 0.500 0.000
Cd1 0.246 0.754 0.000
Cd2 0.754 0.754 0.000
Cd3 0.246 0.246 0.507
Cd4 0.754 0.246 0.000
Cd5 0.246 0.246 0.000
Cd6 0.754 0.754 0.493
Au1 0.000 0.000 0.000

=====

Record 11
Here is an optimized crystal structure of Ba2NaCdAu from Alexandria. Energies are from PBE.

Values from the calculation:
- distance to the lowest polymorph of the same formula (meV/atom) = 0.0
- magnetic moment (μB per formula unit) = 0.00
- calculated formation energy (eV per atom) = -0.27
- crystal system = tetragonal
- symmetry = P4/mmm, No. 123

a b c (Å): 6.406 6.406 5.409
angles (deg): 90.00 90.00 90.00
Positions (direct):
Na1 0.500 0.500 0.500
Au1 0.000 0.000 0.000
Ba1 0.000 0.500 0.000
Ba2 0.500 0.000 0.000
Cd1 0.000 0.000 0.500

=====

Record 12
Here is an optimized crystal structure of BaNa2Cd2Au2 from Alexandria. Energies are from PBE.

Values from the calculation:
- magnetic moment (μB per formula unit) = 0.00
- calculated formation energy (eV per atom) = -0.36
- crystal system = trigonal
- symmetry = R-3m, No. 166

a b c (Å): 4.889 4.889 10.215
angles (deg): 76.15 76.15 60.00
Positions (direct):
Ba1 0.000 0.000 0.000
Na1 0.133 0.133 0.602
Na2 0.867 0.867 0.398
Cd1 0.749 0.749 0.754
Cd2 0.251 0.251 0.246
Au1 0.592 0.592 0.225
Au2 0.408 0.408 0.775

=====

Record 13
Here is an optimized crystal structure of Ba2NaCd12Au3 from Alexandria. Energies are from PBE.

Values from the calculation:
- magnetic moment (μB per formula unit) = 0.00
- calculated formation energy (eV per atom) = -0.01
- crystal system = trigonal
- symmetry = R-3m, No. 166

a b c (Å): 8.649 8.649 8.649
angles (deg): 72.11 72.11 72.11
Positions (direct):
Ba1 0.604 0.604 0.604
Ba2 0.396 0.396 0.396
Na1 0.000 0.000 0.000
Cd1 0.299 0.299 0.843
Cd2 0.857 0.857 0.357
Cd3 0.357 0.857 0.857
Cd4 0.843 0.299 0.299
Cd5 0.857 0.357 0.857
Cd6 0.299 0.843 0.299
Cd7 0.701 0.701 0.157
Cd8 0.143 0.143 0.643
Cd9 0.643 0.143 0.143
Cd10 0.157 0.701 0.701
Cd11 0.143 0.643 0.143
Cd12 0.701 0.157 0.701
Au1 0.500 0.000 0.000
Au2 0.000 0.500 0.000
Au3 0.000 0.000 0.500

=====

Record 14
Here is an optimized crystal structure of Ba2NaCd3Au4 from Alexandria. Energies are from PBE.

Values from the calculation:
- magnetic moment (μB per formula unit) = 0.00
- calculated formation energy (eV per atom) = -0.46
- crystal system = tetragonal
- symmetry = P-4m2, No. 115

a b c (Å): 4.978 4.978 11.240
angles (deg): 90.00 90.00 90.00
Positions (direct):
Ba1 0.500 0.000 0.230
Ba2 0.000 0.500 0.770
Na1 0.500 0.500 0.500
Cd1 0.000 0.000 0.500
Cd2 0.500 0.000 0.882
Cd3 0.000 0.500 0.118
Au1 0.500 0.500 0.000
Au2 0.000 0.000 0.000
Au3 0.500 0.000 0.637
Au4 0.000 0.500 0.363

=====

Record 15
Here is an optimized crystal structure of Ba2NaCdAu from Alexandria. Energies are from PBE.

Values from the calculation:
- distance to the lowest polymorph of the same formula (meV/atom) = 14.3
- magnetic moment (μB per formula unit) = 0.00
- calculated formation energy (eV per atom) = -0.26
- crystal system = tetragonal
- symmetry = P4/mmm, No. 123

a b c (Å): 6.336 6.336 5.518
angles (deg): 90.00 90.00 90.00
Positions (direct):
Na1 0.000 0.000 0.500
Au1 0.000 0.000 0.000
Ba1 0.000 0.500 0.000
Ba2 0.500 0.000 0.000
Cd1 0.500 0.500 0.500

=====

Record 16
Here is an optimized crystal structure of BaNaCd2Au2 from Alexandria. Energies are from PBE.

Values from the calculation:
- magnetic moment (μB per formula unit) = 0.00
- calculated formation energy (eV per atom) = -0.46
- crystal system = trigonal
- symmetry = P-3m1, No. 164

a b c (Å): 4.948 4.948 7.554
angles (deg): 90.00 90.00 120.00
Positions (direct):
Ba1 0.000 0.000 0.000
Na1 0.000 0.000 0.500
Cd1 0.667 0.333 0.680
Cd2 0.333 0.667 0.320
Au1 0.667 0.333 0.283
Au2 0.333 0.667 0.717

=====

Record 17
Here is an optimized crystal structure of BaNdCd2Au4 from Alexandria. Energies are from PBE.

Values from the calculation:
- magnetic moment (μB per formula unit) = 0.00
- calculated formation energy (eV per atom) = -0.57
- crystal system = trigonal
- symmetry = R-3m, No. 166

a b c (Å): 4.891 4.891 10.242
angles (deg): 76.19 76.19 60.00
Positions (direct):
Ba1 0.000 0.000 0.000
Nd1 0.500 0.500 0.500
Cd1 0.760 0.760 0.719
Cd2 0.240 0.240 0.281
Au1 0.398 0.398 0.806
Au2 0.881 0.881 0.356
Au3 0.119 0.119 0.644
Au4 0.602 0.602 0.194

=====

Record 18
Here is an optimized crystal structure of Ba2NdCdAu6 from Alexandria. Energies are from PBE.

Values from the calculation:
- magnetic moment (μB per formula unit) = 0.00
- calculated formation energy (eV per atom) = -0.30
- crystal system = cubic
- symmetry = Fm-3m, No. 225

a b c (Å): 7.816 7.816 7.816
angles (deg): 60.00 60.00 90.00
Positions (direct):
Ba1 0.250 0.750 0.500
Ba2 0.750 0.250 0.500
Nd1 0.500 0.500 0.000
Cd1 0.000 0.000 0.000
Au1 0.243 0.757 0.000
Au2 0.757 0.757 0.000
Au3 0.243 0.243 0.515
Au4 0.757 0.243 0.000
Au5 0.243 0.243 0.000
Au6 0.757 0.757 0.485

=====

Record 19
Here is an optimized crystal structure of BaNdCdAu from Alexandria. Energies are from PBE.

Values from the calculation:
- magnetic moment (μB per formula unit) = 0.00
- calculated formation energy (eV per atom) = -0.38
- crystal system = cubic
- symmetry = F-43m, No. 216

a b c (Å): 5.583 5.583 5.583
angles (deg): 60.00 60.00 60.00
Positions (direct):
Nd1 0.500 0.500 0.500
Au1 0.250 0.250 0.250
Ba1 0.000 0.000 0.000
Cd1 0.750 0.750 0.750

=====

Record 20
Here is an optimized crystal structure of BaCd2NiAu from Alexandria. Energies are from PBE.

Values from the calculation:
- magnetic moment (μB per formula unit) = 0.00
- calculated formation energy (eV per atom) = -0.22
- crystal system = tetragonal
- symmetry = P4/mmm, No. 123

a b c (Å): 5.013 5.013 5.218
angles (deg): 90.00 90.00 90.00
Positions (direct):
Ni1 0.000 0.000 0.000
Au1 0.000 0.000 0.500
Ba1 0.500 0.500 0.500
Cd1 0.000 0.500 0.000
Cd2 0.500 0.000 0.000

=====

Record 21
Here is an optimized crystal structure of Ba8CdNiAu2 from Alexandria. Energies are from PBE.

Values from the calculation:
- magnetic moment (μB per formula unit) = 0.00
- calculated formation energy (eV per atom) = -0.27
- crystal system = monoclinic
- symmetry = P2/m, No. 10

a b c (Å): 7.930 7.666 9.888
angles (deg): 89.99 90.00 89.04
Positions (direct):
Ba1 0.172 0.774 0.224
Ba2 0.683 0.738 0.000
Ba3 0.828 0.226 0.224
Ba4 0.828 0.226 0.776
Ba5 0.317 0.262 0.000
Ba6 0.172 0.774 0.776
Ba7 0.662 0.721 0.500
Ba8 0.338 0.279 0.500
Cd1 0.000 0.000 0.500
Ni1 0.000 0.000 0.000
Au1 0.500 0.500 0.756
Au2 0.500 0.500 0.244

=====

Record 22
Here is an optimized crystal structure of BaCdAuO2 from Alexandria. Energies are from PBE.

Values from the calculation:
- magnetic moment (μB per formula unit) = 0.00
- crystal system = tetragonal
- symmetry = P4/mmm, No. 123
- E_form (uncorrected) (eV/f.u.) = -0.6

a b c (Å): 4.369 9.077 4.369
angles (deg): 90.00 90.00 90.00
Positions (direct):
Au1 0.500 0.500 0.500
Ba1 0.000 0.000 0.000
O1 0.000 0.000 0.500
O2 0.500 0.000 0.000
Cd1 0.000 0.500 0.000

=====

Record 23
Here is an optimized crystal structure of Ba2CdAuO4 from Alexandria. Energies are from PBE.

Values from the calculation:
- magnetic moment (μB per formula unit) = 1.03
- crystal system = tetragonal
- symmetry = I-4, No. 82
- E_form (uncorrected) (eV/f.u.) = -11.3

a b c (Å): 5.786 5.786 5.786
angles (deg): 105.69 111.39 111.39
Last column: magnetic moment on the atom in μB.
Positions (direct):
Ba1 0.500 0.750 0.250  -0.01
Ba2 0.000 0.000 0.000  0.03
Cd1 0.500 0.250 0.750  0.01
Au1 0.000 0.500 0.500  0.41
O1 0.542 0.273 0.382  0.12
O2 0.109 0.269 0.727  0.12
O3 0.891 0.618 0.160  0.12
O4 0.458 0.840 0.731  0.12